(1)
{"formula": "ScFe2SiC", "functional": "GGA-PBE", "state": "optimized geometry", "lattice": [[1.7881, -5.1571, 0.0000], [1.7881, 5.1571, 0.0000], [0.0000, 0.0000, 6.6337]], "species": ["Sc", "Sc", "Fe", "Fe", "Fe", "Fe", "Si", "Si", "C", "C"], "fractional_positions": [[0.0452, 0.9548, 0.7500], [0.9548, 0.0452, 0.2500], [0.3351, 0.6649, 0.5607], [0.3351, 0.6649, 0.9393], [0.6649, 0.3351, 0.0607], [0.6649, 0.3351, 0.4393], [0.2341, 0.7659, 0.2500], [0.7659, 0.2341, 0.7500], [0.5000, 0.5000, 0.0000], [0.5000, 0.5000, 0.5000]], "sg": "Cmcm, No. 63", "dft_energy_ev_per_cell": -80.88, "polymorph_energy_ev_per_fu": 0.000}

=====

(2)
{"formula": "ScFe2SnC", "functional": "GGA-PBE", "state": "optimized geometry", "lattice": [[4.0127, 0.0000, 0.0000], [0.0000, 4.0127, 0.0000], [0.0000, 0.0000, 4.4553]], "species": ["Sc", "Fe", "Fe", "Sn", "C"], "fractional_positions": [[0.0000, 0.0000, 0.0000], [0.0000, 0.5000, 0.5000], [0.5000, 0.0000, 0.5000], [0.5000, 0.5000, 0.0000], [0.0000, 0.0000, 0.5000]], "sg": "P4/mmm, No. 123", "dft_energy_ev_per_cell": -36.93, "formation_enthalpy_0k_mev_per_atom": -90}

=====

(3)
{"formula": "ScZnFeC2", "functional": "GGA-PBE", "state": "optimized geometry", "lattice": [[3.7530, 0.0000, 0.0000], [0.0000, 3.7530, 0.0000], [0.0000, 0.0000, 4.9062]], "species": ["Sc", "Zn", "Fe", "C", "C"], "fractional_positions": [[0.0000, 0.0000, 0.0000], [0.5000, 0.5000, 0.0000], [0.0000, 0.0000, 0.5000], [0.0000, 0.5000, 0.5000], [0.5000, 0.0000, 0.5000]], "sg": "P4/mmm, No. 123", "dft_energy_ev_per_cell": -29.23, "formation_enthalpy_0k_mev_per_atom": 1057}

=====

(4)
{"formula": "ScZnFeC", "functional": "GGA-PBE", "state": "optimized geometry", "lattice": [[3.4212, 0.0000, 0.0000], [0.0000, 3.4212, 0.0000], [0.0000, 0.0000, 9.3925]], "species": ["Sc", "Sc", "Zn", "Zn", "Fe", "Fe", "C", "C"], "fractional_positions": [[0.2500, 0.2500, 0.2226], [0.7500, 0.7500, 0.7774], [0.2500, 0.7500, 0.5000], [0.7500, 0.2500, 0.5000], [0.2500, 0.7500, 0.0000], [0.7500, 0.2500, 0.0000], [0.2500, 0.2500, 0.8971], [0.7500, 0.7500, 0.1029]], "sg": "P4/nmm, No. 129", "dft_energy_ev_per_cell": -51.58, "formation_enthalpy_0k_mev_per_atom": -124}

=====

(5)
{"formula": "ScZnFe2C", "functional": "GGA-PBE", "state": "optimized geometry", "lattice": [[3.8061, 0.0000, 0.0000], [0.0000, 3.8061, 0.0000], [0.0000, 0.0000, 4.3603]], "species": ["Sc", "Zn", "Fe", "Fe", "C"], "fractional_positions": [[0.0000, 0.0000, 0.0000], [0.5000, 0.5000, 0.0000], [0.0000, 0.5000, 0.5000], [0.5000, 0.0000, 0.5000], [0.0000, 0.0000, 0.5000]], "sg": "P4/mmm, No. 123", "dft_energy_ev_per_cell": -34.10, "formation_enthalpy_0k_mev_per_atom": -70}

=====

(6)
{"formula": "Fe3CSe", "functional": "GGA-PBE", "state": "optimized geometry", "lattice": [[3.8133, 0.0000, 0.0000], [0.0000, 3.8133, 0.0000], [0.0000, 0.0000, 3.8133]], "species": ["Fe", "Fe", "Fe", "C", "Se"], "fractional_positions": [[0.0000, 0.0000, 0.5000], [0.0000, 0.5000, 0.0000], [0.5000, 0.0000, 0.0000], [0.0000, 0.0000, 0.0000], [0.5000, 0.5000, 0.5000]], "sg": "Pm-3m, No. 221", "dft_energy_ev_per_cell": -36.23, "polymorph_energy_ev_per_fu": 0.000}